# Ba4SiAu

An optimized crystal structure of Ba4SiAu (PBE, Alexandria).

```
data_Ba4SiAu
_chemical_formula_sum 'Ba16 Si4 Au4'
_cell_length_a 9.8446
_cell_length_b 9.8446
_cell_length_c 9.8446
_cell_angle_alpha 90.00
_cell_angle_beta 90.00
_cell_angle_gamma 90.00
_space_group_name_H-M_alt 'F -4 3 m'
_space_group_IT_number 216
_space_group_name_Hall 'F -4 2 3'
loop_
_atom_site_label
_atom_site_type_symbol
_atom_site_fract_x
_atom_site_fract_y
_atom_site_fract_z
Ba1 Ba 0.1245 0.1245 0.1245
Si1 Si 0.2500 0.2500 0.7500
Au1 Au 0.0000 0.0000 0.5000
```

---

# BaSi3Au3

An optimized crystal structure of BaSi3Au3 (PBE, Alexandria).

```
data_BaSi3Au3
_chemical_formula_sum 'Ba2 Si6 Au6'
_cell_length_a 6.9569
_cell_length_b 6.9569
_cell_length_c 6.9569
_cell_angle_alpha 90.00
_cell_angle_beta 90.00
_cell_angle_gamma 90.00
_space_group_name_H-M_alt 'P m -3 n'
_space_group_IT_number 223
_space_group_name_Hall '-P 4n 2 3'
loop_
_atom_site_label
_atom_site_type_symbol
_atom_site_fract_x
_atom_site_fract_y
_atom_site_fract_z
Ba1 Ba 0.0000 0.0000 0.0000
Si1 Si 0.0000 0.2500 0.5000
Au1 Au 0.0000 0.5000 0.2500
```

---

# BaSiAu2

An optimized crystal structure of BaSiAu2 (PBE, Alexandria).

```
data_BaSiAu2
_chemical_formula_sum 'Ba2 Si2 Au4'
_cell_length_a 8.5340
_cell_length_b 4.3176
_cell_length_c 6.0032
_cell_angle_alpha 90.00
_cell_angle_beta 108.64
_cell_angle_gamma 90.00
_space_group_name_H-M_alt 'C 1 m 1'
_space_group_IT_number 8
_space_group_name_Hall 'C -2y'
loop_
_atom_site_label
_atom_site_type_symbol
_atom_site_fract_x
_atom_site_fract_y
_atom_site_fract_z
Ba1 Ba 0.0000 0.0000 0.0000
Si1 Si 0.2743 0.5000 0.4120
Au1 Au 0.2058 0.0000 0.6033
Au2 Au 0.4764 0.0000 0.4420
```

---

# BaSiAu2

An optimized crystal structure of BaSiAu2 (PBE, Alexandria).

```
data_BaSiAu2
_chemical_formula_sum 'Ba4 Si4 Au8'
_cell_length_a 5.4959
_cell_length_b 5.4959
_cell_length_c 15.9098
_cell_angle_alpha 90.00
_cell_angle_beta 90.00
_cell_angle_gamma 90.00
_space_group_name_H-M_alt 'I -4 2 d'
_space_group_IT_number 122
_space_group_name_Hall 'I -4 2bw'
loop_
_atom_site_label
_atom_site_type_symbol
_atom_site_fract_x
_atom_site_fract_y
_atom_site_fract_z
Ba1 Ba 0.0000 0.0000 0.0000
Si1 Si 0.0000 0.0000 0.5000
Au1 Au 0.0693 0.2500 0.6250
```

---

# Ba2Si7Au12

An optimized crystal structure of Ba2Si7Au12 (PBE, Alexandria).

```
data_Ba2Si7Au12
_chemical_formula_sum 'Ba2 Si7 Au12'
_cell_length_a 10.1658
_cell_length_b 10.1658
_cell_length_c 4.6163
_cell_angle_alpha 90.00
_cell_angle_beta 90.00
_cell_angle_gamma 120.00
_space_group_name_H-M_alt 'P -3'
_space_group_IT_number 147
_space_group_name_Hall '-P 3'
loop_
_atom_site_label
_atom_site_type_symbol
_atom_site_fract_x
_atom_site_fract_y
_atom_site_fract_z
Ba1 Ba 0.3333 0.6667 0.2400
Si1 Si 0.0000 0.0000 0.5000
Si2 Si 0.1039 0.7117 0.7204
Au1 Au 0.0625 0.4460 0.7504
Au2 Au 0.1194 0.2535 0.2064
```

---

# BaSiAu3

An optimized crystal structure of BaSiAu3 (PBE, Alexandria).

Results
Distance to the lowest polymorph of the same formula ... 543 meV/atom

```
data_BaSiAu3
_chemical_formula_sum 'Ba6 Si6 Au18'
_cell_length_a 8.5617
_cell_length_b 8.5617
_cell_length_c 13.0683
_cell_angle_alpha 90.00
_cell_angle_beta 90.00
_cell_angle_gamma 120.00
_space_group_name_H-M_alt 'R -3 c'
_space_group_IT_number 167
_space_group_name_Hall '-R 3 2"c'
loop_
_atom_site_label
_atom_site_type_symbol
_atom_site_fract_x
_atom_site_fract_y
_atom_site_fract_z
Ba1 Ba 0.0000 0.0000 0.0000
Si1 Si 0.0000 0.0000 0.2500
Au1 Au 0.0000 0.2754 0.2500
```

---

# Ba2SiAu3

An optimized crystal structure of Ba2SiAu3 (PBE, Alexandria).

Results
Distance to the lowest polymorph of the same formula ... 8 meV/atom

```
data_Ba2SiAu3
_chemical_formula_sum 'Ba2 Si1 Au3'
_cell_length_a 4.6096
_cell_length_b 4.6359
_cell_length_c 8.0441
_cell_angle_alpha 90.00
_cell_angle_beta 90.00
_cell_angle_gamma 90.00
_space_group_name_H-M_alt 'P m m 2'
_space_group_IT_number 25
_space_group_name_Hall 'P 2 -2'
loop_
_atom_site_label
_atom_site_type_symbol
_atom_site_fract_x
_atom_site_fract_y
_atom_site_fract_z
Ba1 Ba 0.0000 0.0000 0.0000
Ba2 Ba 0.0000 0.5000 0.4935
Si1 Si 0.5000 0.5000 0.8078
Au1 Au 0.5000 0.0000 0.3338
Au2 Au 0.5000 0.0000 0.6939
Au3 Au 0.5000 0.5000 0.1217
```

---

# BaSiAu3

An optimized crystal structure of BaSiAu3 (PBE, Alexandria).

Results
Distance to the lowest polymorph of the same formula ... 117 meV/atom

```
data_BaSiAu3
_chemical_formula_sum 'Ba4 Si4 Au12'
_cell_length_a 8.6727
_cell_length_b 6.5959
_cell_length_c 8.7350
_cell_angle_alpha 90.00
_cell_angle_beta 96.47
_cell_angle_gamma 90.00
_space_group_name_H-M_alt 'P 1 21/c 1'
_space_group_IT_number 14
_space_group_name_Hall '-P 2ybc'
loop_
_atom_site_label
_atom_site_type_symbol
_atom_site_fract_x
_atom_site_fract_y
_atom_site_fract_z
Ba1 Ba 0.1520 0.0962 0.1929
Si1 Si 0.4314 0.6678 0.0431
Au1 Au 0.1401 0.5919 0.0439
Au2 Au 0.2573 0.5984 0.3618
Au3 Au 0.4731 0.1375 0.7230
```

---

no.,DOS(E_F) (states/eV/f.u.),E_form (uncorrected) (eV/atom)
1,4.84,0.507
2,5.19,-0.260
3,1.21,-0.387
4,0.06,-0.492
5,7.08,-0.219
6,2.80,-0.010
7,3.75,-0.635
8,1.04,-0.436